Crystalline VCdInF6 at its relaxed geometry, computed with PBE with a Hubbard U.

```
data_VCdInF6
_chemical_formula_sum 'V2 Cd2 In2 F12'
_space_group_name_H-M_alt 'C 1 2 1'
_space_group_IT_number 5
_cell_length_a 5.8085
_cell_length_b 10.0801
_cell_length_c 5.5542
_cell_angle_alpha 90.00
_cell_angle_beta 90.18
_cell_angle_gamma 90.00
loop_
_space_group_symop_operation_xyz
'x,y,z'
'-x,y,-z'
'x+1/2,y+1/2,z'
'-x+1/2,y+1/2,-z'
loop_
_atom_site_label
_atom_site_type_symbol
_atom_site_fract_x
_atom_site_fract_y
_atom_site_fract_z
V1 V 0.0000 0.0000 0.0000
Cd1 Cd 0.0000 0.3324 0.0000
In1 In 0.0000 0.6644 0.5000
F1 F 0.1199 0.1485 0.2018
F2 F 0.1618 0.8659 0.1998
F3 F 0.2124 0.4901 0.1945
```



Crystalline CdIn2WF at its relaxed geometry, computed with PBE with a Hubbard U.

```
data_CdIn2WF
_chemical_formula_sum 'Cd1 In2 W1 F1'
_space_group_name_H-M_alt 'P 4/m m m'
_space_group_IT_number 123
_space_group_name_Hall '-P 4 2'
_cell_length_a 4.8664
_cell_length_b 4.8664
_cell_length_c 4.8319
_cell_angle_alpha 90.00
_cell_angle_beta 90.00
_cell_angle_gamma 90.00
loop_
_atom_site_label
_atom_site_type_symbol
_atom_site_fract_x
_atom_site_fract_y
_atom_site_fract_z
Cd1 Cd 0.0000 0.0000 0.0000
In1 In 0.0000 0.5000 0.5000
W1 W 0.5000 0.5000 0.0000
F1 F 0.0000 0.0000 0.5000
```



no.,energy (eV/atom),M_tot (μB/f.u.),calculated volume (Å³/atom)
1,-4.865,1.991,18.07
2,-2.953,3.928,22.89